(1)
# Cs2SnO2 | Alexandria | PBE-GGA | optimized geometry
data_Cs2SnO2
_chemical_formula_sum 'Cs4 Sn2 O4'
_symmetry_space_group_name_H-M 'P 1'
_symmetry_Int_Tables_number 1
_symmetry_space_group_name_Hall 'P 1'
_cell_length_a 4.7554
_cell_length_b 7.4807
_cell_length_c 10.9071
_cell_angle_alpha 100.71
_cell_angle_beta 90.00
_cell_angle_gamma 108.53
loop_
_atom_site_label
_atom_site_type_symbol
_atom_site_fract_x
_atom_site_fract_y
_atom_site_fract_z
Cs1 Cs 0.9050 0.8100 0.1659
Cs2 Cs 0.3560 0.7119 0.4530
Cs3 Cs 0.6440 0.2881 0.5470
Cs4 Cs 0.0950 0.1900 0.8341
O1 O 0.5232 0.0464 0.2789
O2 O 0.4768 0.9536 0.7211
O3 O 0.2486 0.4972 0.6758
O4 O 0.7514 0.5028 0.3242
Sn1 Sn 0.6336 0.2672 0.1916
Sn2 Sn 0.3664 0.7328 0.8084
# Uncorrected formation energy: -1278 meV per atom

(2)
# Tb2Pm4SmDy | Alexandria | PBE-GGA | optimized geometry
data_Tb2Pm4SmDy
_chemical_formula_sum 'Tb2 Pm4 Sm1 Dy1'
_symmetry_space_group_name_H-M 'P 1'
_symmetry_Int_Tables_number 1
_symmetry_space_group_name_Hall 'P 1'
_cell_length_a 3.6192
_cell_length_b 6.2517
_cell_length_c 11.9552
_cell_angle_alpha 79.77
_cell_angle_beta 90.00
_cell_angle_gamma 90.00
loop_
_atom_site_label
_atom_site_type_symbol
_atom_site_fract_x
_atom_site_fract_y
_atom_site_fract_z
Tb1 Tb 0.5000 0.0000 0.5000
Tb2 Tb 0.0000 0.0000 0.0000
Dy1 Dy 0.0000 0.5000 0.5000
Pm1 Pm 0.5000 0.2506 0.7490
Pm2 Pm 0.0000 0.2490 0.2514
Pm3 Pm 0.0000 0.7510 0.7486
Pm4 Pm 0.5000 0.7494 0.2510
Sm1 Sm 0.5000 0.5000 0.0000
# Formation energy from the elements: 0.015 eV per atom
# Fermi-level density of states: 11.209 states/eV/cell

(3)
# ZnIr4 | Alexandria | PBE-GGA | optimized geometry
data_ZnIr4
_chemical_formula_sum 'Zn1 Ir4'
_symmetry_space_group_name_H-M 'P 1'
_symmetry_Int_Tables_number 1
_symmetry_space_group_name_Hall 'P 1'
_cell_length_a 6.7802
_cell_length_b 6.7802
_cell_length_c 6.7802
_cell_angle_alpha 148.95
_cell_angle_beta 148.95
_cell_angle_gamma 44.49
loop_
_atom_site_label
_atom_site_type_symbol
_atom_site_fract_x
_atom_site_fract_y
_atom_site_fract_z
Ir1 Ir 0.5982 0.5982 0.0000
Ir2 Ir 0.2500 0.7500 0.5000
Ir3 Ir 0.7500 0.2500 0.5000
Ir4 Ir 0.4018 0.4018 0.0000
Zn1 Zn 0.0000 0.0000 0.0000
# Formation energy from the elements: 0.362 eV per atom
# Fermi-level density of states: 2.558 states/eV/cell
# Relative energy among the computed polymorphs: 404 meV/atom

(4)
# RbAl3Cl | Alexandria | PBE-GGA | optimized geometry
data_RbAl3Cl
_chemical_formula_sum 'Rb1 Al3 Cl1'
_symmetry_space_group_name_H-M 'P 1'
_symmetry_Int_Tables_number 1
_symmetry_space_group_name_Hall 'P 1'
_cell_length_a 6.4585
_cell_length_b 6.4585
_cell_length_c 6.4585
_cell_angle_alpha 90.00
_cell_angle_beta 90.00
_cell_angle_gamma 90.00
loop_
_atom_site_label
_atom_site_type_symbol
_atom_site_fract_x
_atom_site_fract_y
_atom_site_fract_z
Cl1 Cl 0.5000 0.5000 0.5000
Al1 Al 0.0000 0.0000 0.5000
Al2 Al 0.0000 0.5000 0.0000
Al3 Al 0.5000 0.0000 0.0000
Rb1 Rb 0.0000 0.0000 0.0000
# Fermi-level density of states: 3.799 states/eV/cell
# Relative energy among the computed polymorphs: 882 meV/atom
# Uncorrected formation energy: 1340 meV per atom